Below is KCdCl after structural relaxation, with properties calculated at the GGA-PBE level.

Cell and atoms, written as POSCAR:
```
KCdCl
1.0
-1.8967 -5.6843 5.2698
1.3811 -3.5172 7.0283
-2.7158 1.8523 2.7795
K Cl Cd
1 1 1
Direct
0.2429 0.2429 0.7571
0.7701 0.7701 0.2299
0.9869 0.9870 0.0130
```

Results
**Energy above the lowest structure with this stoichiometry**: 0.0 meV per atom
**D(E_F)**: 0.000 states/eV/atom
**Crystal system**: tetragonal


Below is K3Cd2Cl7 after structural relaxation, with properties calculated at the GGA-PBE level.

Cell and atoms, written as POSCAR:
```
K3Cd2Cl7
1.0
5.1838 0.0000 -0.9742
-0.1831 5.1806 -0.9742
-0.1491 -0.1545 13.4851
K Cd Cl
3 2 7
Direct
0.3206 0.3206 0.6412
0.6794 0.6794 0.3588
0.5000 0.5000 0.0000
0.1024 0.1024 0.2049
0.8976 0.8976 0.7951
0.0000 0.0000 0.0000
0.9028 0.4028 0.8056
0.4028 0.9028 0.8056
0.0972 0.5972 0.1944
0.5972 0.0972 0.1944
0.2011 0.2011 0.4022
0.7989 0.7989 0.5978
```

Results
**Energy above the lowest structure with this stoichiometry**: 0.0 meV per atom
**D(E_F)**: 0.000 states/eV/atom
**Crystal system**: tetragonal


Below is KCdCl after structural relaxation, with properties calculated at the GGA-PBE level.

Cell and atoms, written as POSCAR:
```
KCdCl
1.0
-3.9432 -0.9917 3.7225
0.2718 -4.5014 3.1706
1.1042 0.4803 5.3795
K Cl Cd
1 1 1
Direct
0.0000 0.0000 0.0000
0.7500 0.7500 0.7500
0.5000 0.5000 0.5000
```

Results
**Energy above the lowest structure with this stoichiometry**: 109.5 meV per atom
**D(E_F)**: 0.000 states/eV/atom
**Crystal system**: cubic


Below is KCd2Cl after structural relaxation, with properties calculated at the GGA-PBE level.

Cell and atoms, written as POSCAR:
```
KCd2Cl
1.0
7.6170 0.0485 0.0000
5.1692 5.5946 0.0000
-6.3931 -2.8216 3.0311
K Cl Cd
1 1 2
Direct
0.7500 0.2500 0.5000
0.2500 0.7500 0.5000
0.0000 0.0000 0.0000
0.5000 0.5000 0.0000
```

Results
**Energy above the lowest structure with this stoichiometry**: 12.7 meV per atom
**D(E_F)**: 0.307 states/eV/atom
**Crystal system**: tetragonal


Number 2 is which compound?
K3Cd2Cl7


The highest D(E_F) belongs to which entry?
KCd2Cl


Number 4 is which compound?
KCd2Cl


What did the fourth record say?
Below is KCd2Cl after structural relaxation, with properties calculated at the GGA-PBE level.

Cell and atoms, written as POSCAR:
```
KCd2Cl
1.0
7.6170 0.0485 0.0000
5.1692 5.5946 0.0000
-6.3931 -2.8216 3.0311
K Cl Cd
1 1 2
Direct
0.7500 0.2500 0.5000
0.2500 0.7500 0.5000
0.0000 0.0000 0.0000
0.5000 0.5000 0.0000
```

Results
**Energy above the lowest structure with this stoichiometry**: 12.7 meV per atom
**D(E_F)**: 0.307 states/eV/atom
**Crystal system**: tetragonal